First-principles (PBE-GGA) data for crystalline Pm8Sn6Pb at its relaxed geometry, as listed in the Alexandria database.

V in Å³/atom: 32.91
Spin magnetization in μB/f.u.: 0.00
E in eV/atom: -4.949
ΔE_f in eV per atom: -0.5675

abc: 9.4481 9.4481 19.1544
angles: 90.00 90.00 120.00
Space group R-3 (No. 148, hexagonal axes)
Symmetry-distinct sites (fractional):
1 Pm 0.0000 0.0000 0.1683 x6
2 Pm 0.0086 0.2820 0.5978 x18
3 Sn 0.0041 0.3729 0.4290 x18
4 Pb 0.0000 0.0000 0.5000 x3

First-principles (PBE-GGA) data for crystalline CsNpSO at its relaxed geometry, as listed in the Alexandria database.

E_form (uncorrected) in eV per atom: -1.687
V in Å³/atom: 24.43
Spin magnetization in μB/f.u.: 4.00
E in eV/atom: -7.407

abc: 6.589 3.804 8.098
angles: 90.00 105.63 90.00
Space group Cm (No. 8)
Symmetry-distinct sites (fractional):
1 Cs 0.000 0.000 0.000 x2
2 Np 0.341 0.500 0.526 x2
3 S 0.436 0.000 0.308 x2
4 O 0.211 0.000 0.637 x2

First-principles (PBE-GGA) data for crystalline Fe5Ni at its relaxed geometry, as listed in the Alexandria database.

Distance to the lowest polymorph of the same formula in eV/atom: 0.028
V in Å³/atom: 11.62
Spin magnetization in μB/f.u.: 12.92
E in eV/atom: -7.969
ΔE_f in eV per atom: 0.0464

abc: 2.454 2.454 11.575
angles: 90.00 90.00 90.00
Space group P4/mmm (No. 123)
Symmetry-distinct sites (fractional):
1 Fe 0.000 0.000 0.000 x1
2 Fe 0.000 0.000 0.342 x2
3 Fe 0.500 0.500 0.172 x2
4 Ni 0.500 0.500 0.500 x1